[1]
# KMg2CuAs2 (PBE, relaxed)
data_KMg2CuAs2
_cell_length_a 4.255
_cell_length_b 4.255
_cell_length_c 8.340
_cell_angle_alpha 90.00
_cell_angle_beta 90.00
_cell_angle_gamma 90.00
_symmetry_space_group_name_H-M 'P 4 m m'
_symmetry_Int_Tables_number 99
loop_
_symmetry_equiv_pos_as_xyz
'x,y,z'
'-y,x,z'
'-x,-y,z'
'y,-x,z'
'-x,y,z'
'y,x,z'
'x,-y,z'
'-y,-x,z'
loop_
_atom_site_label
_atom_site_type_symbol
_atom_site_fract_x
_atom_site_fract_y
_atom_site_fract_z
_atom_site_occupancy
K1 K 0.000 0.000 0.000 1
Mg1 Mg 0.000 0.500 0.611 1
Cu1 Cu 0.500 0.500 0.400 1
As1 As 0.000 0.000 0.395 1
As2 As 0.500 0.500 0.798 1
# DFT total energy: -19.13 eV for the cell shown

***

[2]
# PmMgZr (PBE, relaxed)
data_PmMgZr
_cell_length_a 7.205
_cell_length_b 7.205
_cell_length_c 7.205
_cell_angle_alpha 90.00
_cell_angle_beta 90.00
_cell_angle_gamma 90.00
_symmetry_space_group_name_H-M 'F -4 3 m'
_symmetry_Int_Tables_number 216
_symmetry_space_group_name_Hall 'F -4 2 3'
loop_
_atom_site_label
_atom_site_type_symbol
_atom_site_fract_x
_atom_site_fract_y
_atom_site_fract_z
_atom_site_occupancy
Pm1 Pm 0.000 0.000 0.000 1
Mg1 Mg 0.250 0.250 0.750 1
Zr1 Zr 0.250 0.250 0.250 1
# DFT total energy: -47.26 eV for the cell shown

***

[3]
# PrFeNi (PBE, relaxed)
data_PrFeNi
_cell_length_a 6.403
_cell_length_b 6.403
_cell_length_c 6.403
_cell_angle_alpha 90.00
_cell_angle_beta 90.00
_cell_angle_gamma 90.00
_symmetry_space_group_name_H-M 'F -4 3 m'
_symmetry_Int_Tables_number 216
_symmetry_space_group_name_Hall 'F -4 2 3'
loop_
_atom_site_label
_atom_site_type_symbol
_atom_site_fract_x
_atom_site_fract_y
_atom_site_fract_z
_atom_site_occupancy
Pr1 Pr 0.000 0.000 0.000 1
Fe1 Fe 0.250 0.250 0.250 1
Ni1 Ni 0.250 0.250 0.750 1
# Formation enthalpy at 0 K: 0.97 eV per atom
# DFT total energy: -62.96 eV for the cell shown

***

[4]
# PrLuAg (PBE, relaxed)
data_PrLuAg
_cell_length_a 6.986
_cell_length_b 6.986
_cell_length_c 6.986
_cell_angle_alpha 90.00
_cell_angle_beta 90.00
_cell_angle_gamma 90.00
_symmetry_space_group_name_H-M 'F -4 3 m'
_symmetry_Int_Tables_number 216
_symmetry_space_group_name_Hall 'F -4 2 3'
loop_
_atom_site_label
_atom_site_type_symbol
_atom_site_fract_x
_atom_site_fract_y
_atom_site_fract_z
_atom_site_occupancy
Pr1 Pr 0.000 0.000 0.000 1
Lu1 Lu 0.250 0.250 0.750 1
Ag1 Ag 0.000 0.000 0.500 1
# Formation enthalpy at 0 K: 0.41 eV per atom
# DFT total energy: -43.57 eV for the cell shown